VASP calculation (GGA-PBEsol) on a geometry-optimized Er5Re2O12 structure.

Geometry as CIF:
```
data_Er5Re2O12
_symmetry_space_group_name_H-M 'C 1 2/m 1'
_symmetry_Int_Tables_number 12
_cell_length_a 12.215
_cell_length_b 5.565
_cell_length_c 7.393
_cell_angle_alpha 90.00
_cell_angle_beta 107.92
_cell_angle_gamma 90.00
loop_
_symmetry_equiv_pos_as_xyz
'x,y,z'
'-x,-y,-z'
'-x,y,-z'
'x,-y,z'
'x+1/2,y+1/2,z'
'-x+1/2,-y+1/2,-z'
'-x+1/2,y+1/2,-z'
'x+1/2,-y+1/2,z'
loop_
_atom_site_label
_atom_site_type_symbol
_atom_site_fract_x
_atom_site_fract_y
_atom_site_fract_z
_atom_site_occupancy
Er1 Er 0.000 0.000 0.000 1
Er2 Er 0.185 0.500 0.324 1
Er3 Er 0.198 0.500 0.859 1
Re1 Re 0.000 0.216 0.500 1
O1 O 0.001 0.000 0.292 1
O2 O 0.001 0.500 0.680 1
O3 O 0.154 0.252 0.073 1
O4 O 0.167 0.254 0.586 1
```

VASP calculation (GGA-PBEsol) on a geometry-optimized ErRhO3 structure.

Geometry as CIF:
```
data_ErRhO3
_symmetry_space_group_name_H-M 'P n m a'
_symmetry_Int_Tables_number 62
_cell_length_a 5.726
_cell_length_b 7.454
_cell_length_c 5.129
_cell_angle_alpha 90.00
_cell_angle_beta 90.00
_cell_angle_gamma 90.00
loop_
_symmetry_equiv_pos_as_xyz
'x,y,z'
'-x,-y,-z'
'-x+1/2,-y,z+1/2'
'x+1/2,y,-z+1/2'
'x+1/2,-y+1/2,-z+1/2'
'-x+1/2,y+1/2,z+1/2'
'-x,y+1/2,-z'
'x,-y+1/2,z'
loop_
_atom_site_label
_atom_site_type_symbol
_atom_site_fract_x
_atom_site_fract_y
_atom_site_fract_z
_atom_site_occupancy
Er1 Er 0.089 0.250 0.034 1
Rh1 Rh 0.000 0.000 0.500 1
O1 O 0.054 0.750 0.360 1
O2 O 0.189 0.562 0.828 1
```

VASP calculation (GGA-PBEsol) on a geometry-optimized Sr3ErRhO6 structure.

Geometry as CIF:
```
data_Sr3ErRhO6
_symmetry_space_group_name_H-M 'R -3 c'
_symmetry_Int_Tables_number 167
_symmetry_space_group_name_Hall '-R 3 2"c'
_cell_length_a 9.6985
_cell_length_b 9.6985
_cell_length_c 11.2079
_cell_angle_alpha 90.00
_cell_angle_beta 90.00
_cell_angle_gamma 120.00
loop_
_atom_site_label
_atom_site_type_symbol
_atom_site_fract_x
_atom_site_fract_y
_atom_site_fract_z
_atom_site_occupancy
Sr1 Sr 0.0000 0.3690 0.2500 1
Er1 Er 0.0000 0.0000 0.2500 1
Rh1 Rh 0.0000 0.0000 0.0000 1
O1 O 0.0217 0.1780 0.3868 1
```

VASP calculation (GGA-PBEsol) on a geometry-optimized Er2SO2 structure.

Geometry as CIF:
```
data_Er2SO2
_symmetry_space_group_name_H-M 'P -3 m 1'
_symmetry_Int_Tables_number 164
_symmetry_space_group_name_Hall '-P 3 2"'
_cell_length_a 3.7162
_cell_length_b 3.7162
_cell_length_c 6.4685
_cell_angle_alpha 90.00
_cell_angle_beta 90.00
_cell_angle_gamma 120.00
loop_
_atom_site_label
_atom_site_type_symbol
_atom_site_fract_x
_atom_site_fract_y
_atom_site_fract_z
_atom_site_occupancy
Er1 Er 0.3333 0.6667 0.2826 1
S1 S 0.0000 0.0000 0.0000 1
O1 O 0.3333 0.6667 0.6296 1
```

Total energy readings, ordered: -342.12; -160.54; -474.55; -41.26 eV per cell